(1)
This record from Alexandria via LeMat-Bulk describes an optimized crystal structure of BeVTe. The functional is GGA-PBE.

The calculation puts the density of states at the Fermi level at 2.50 states/eV per cell.

Structure (extended XYZ):
```
6
Lattice="3.916 0.000 0.000 1.332 3.696 0.000 0.955 0.232 8.216" Properties=species:S:1:pos:R:3 pbc="T T T"
Be 0.000 0.000 0.000
Be 2.350 1.255 6.921
V 4.268 2.610 7.444
V 5.710 3.573 6.003
Te 2.040 0.583 1.321
Te 3.703 2.152 4.760
```



(2)
This record from Alexandria via LeMat-Bulk describes an optimized crystal structure of BeVTe. The functional is GGA-PBE.

The calculation puts the density of states at the Fermi level at 4.54 states/eV per cell.

Structure (extended XYZ):
```
6
Lattice="1.669 -9.236 0.000 1.669 9.236 0.000 0.000 0.000 3.410" Properties=species:S:1:pos:R:3 pbc="T T T"
Be 1.669 8.722 2.558
Be 1.669 -8.722 0.853
V 1.669 1.204 2.558
V 1.669 -1.204 0.853
Te 1.669 6.387 2.558
Te 1.669 -6.387 0.853
```



Result of the stability comparison: (2) is the most stable of them.



(1)
This record from Alexandria via LeMat-Bulk describes an optimized crystal structure of CePaOs2. The functional is GGA-PBE.

The calculation puts the density of states at the Fermi level at 5.11 states/eV per cell.

Structure (extended XYZ):
```
4
Lattice="0.000 3.454 3.454 3.454 0.000 3.454 3.454 3.454 0.000" Properties=species:S:1:pos:R:3 pbc="T T T"
Ce 0.000 0.000 0.000
Pa 3.454 3.454 3.454
Os 1.727 1.727 1.727
Os 5.181 5.181 5.181
```



(2)
This record from Alexandria via LeMat-Bulk describes an optimized crystal structure of CePaOs2. The functional is GGA-PBE.

The calculation puts the density of states at the Fermi level at 5.78 states/eV per cell.

Structure (extended XYZ):
```
4
Lattice="3.406 0.000 0.000 0.000 3.406 0.000 0.000 0.000 7.222" Properties=species:S:1:pos:R:3 pbc="T T T"
Ce 0.000 0.000 0.000
Pa 0.000 0.000 3.611
Os 1.703 1.703 1.998
Os 1.703 1.703 5.223
```



Result of the stability comparison: (2) is the most stable of them.



(1)
This record from Alexandria via LeMat-Bulk describes an optimized crystal structure of KFe2Rh. The functional is GGA-PBE.

The calculation puts the density of states at the Fermi level at 10.26 states/eV per cell.

Structure (extended XYZ):
```
8
Lattice="-3.741 3.741 2.961 3.741 -3.741 2.961 3.741 3.741 -2.961" Properties=species:S:1:pos:R:3 pbc="T T T"
K 0.000 0.000 0.000
K 0.000 3.741 1.480
Fe 1.871 -1.369 2.221
Fe 2.373 1.871 0.740
Fe 1.871 5.110 -0.740
Fe 1.369 1.871 3.701
Rh 3.741 0.000 1.480
Rh 0.000 0.000 2.961
```



(2)
This record from Alexandria via LeMat-Bulk describes an optimized crystal structure of KFe2Rh. The functional is GGA-PBE.

The calculation puts the density of states at the Fermi level at 5.45 states/eV per cell.

Structure (extended XYZ):
```
4
Lattice="-1.358 2.608 4.989 1.358 -2.608 4.989 1.358 2.608 -4.989" Properties=species:S:1:pos:R:3 pbc="T T T"
K 0.000 0.000 0.000
Fe 0.000 0.000 5.030
Fe 0.000 2.608 2.059
Rh 1.358 0.000 2.907
```



Result of the stability comparison: (2) is the most stable of them.



(1)
This record from Alexandria via LeMat-Bulk describes an optimized crystal structure of MnPSeSN. The functional is GGA-PBE.

The calculation puts the density of states at the Fermi level at 3.77 states/eV per cell.

Structure (extended XYZ):
```
5
Lattice="4.505 -1.676 0.000 4.505 1.676 0.000 -0.296 0.000 6.438" Properties=species:S:1:pos:R:3 pbc="T T T"
Mn 0.000 0.000 0.000
P 2.825 0.000 5.398
Se 7.400 0.000 1.889
S 5.251 0.000 1.479
N 1.268 0.000 5.595
```



(2)
This record from Alexandria via LeMat-Bulk describes an optimized crystal structure of MnPSeSN. The functional is GGA-PBE.

The calculation puts the density of states at the Fermi level at 1.90 states/eV per cell.

Structure (extended XYZ):
```
5
Lattice="6.942 -1.414 0.000 6.942 1.414 0.000 -1.872 0.000 5.067" Properties=species:S:1:pos:R:3 pbc="T T T"
Mn 0.000 0.000 0.000
P 4.684 0.000 1.544
Se 6.907 0.000 4.954
S 3.948 0.000 3.766
N 12.633 0.000 1.469
```



Result of the stability comparison: (2) is the most stable of them.



(1)
This record from Alexandria via LeMat-Bulk describes an optimized crystal structure of K2YMo. The functional is GGA-PBE.

The calculation puts the density of states at the Fermi level at 3.96 states/eV per cell.

Structure (extended XYZ):
```
4
Lattice="-2.871 2.871 4.074 2.871 -2.871 4.074 2.871 2.871 -4.074" Properties=species:S:1:pos:R:3 pbc="T T T"
K 0.000 0.000 0.000
K 0.000 2.871 2.037
Y 0.000 0.000 4.074
Mo 2.871 0.000 2.037
```



(2)
This record from Alexandria via LeMat-Bulk describes an optimized crystal structure of K2YMo. The functional is GGA-PBE.

The calculation puts the density of states at the Fermi level at 6.38 states/eV per cell.

Structure (extended XYZ):
```
4
Lattice="3.067 0.000 0.000 0.000 3.067 0.000 0.000 0.000 13.203" Properties=species:S:1:pos:R:3 pbc="T T T"
K 0.000 0.000 2.880
K 0.000 0.000 10.323
Y 1.533 1.533 6.601
Mo 1.533 1.533 0.000
```



Result of the stability comparison: (1) is the most stable of them.



(1)
This record from Alexandria via LeMat-Bulk describes an optimized crystal structure of CrFeMo2. The functional is GGA-PBE.

The calculation puts the density of states at the Fermi level at 10.54 states/eV per cell.

Structure (extended XYZ):
```
8
Lattice="-3.369 3.369 2.541 3.369 -3.369 2.541 3.369 3.369 -2.541" Properties=species:S:1:pos:R:3 pbc="T T T"
Cr 0.000 0.000 0.000
Cr 0.000 3.369 1.271
Fe 3.369 0.000 1.271
Fe 0.000 0.000 2.541
Mo 1.685 -1.596 1.906
Mo 1.773 1.685 0.635
Mo 1.685 4.966 -0.635
Mo 1.596 1.685 3.176
```



(2)
This record from Alexandria via LeMat-Bulk describes an optimized crystal structure of CrFeMo2. The functional is GGA-PBE.

The calculation puts the density of states at the Fermi level at 3.62 states/eV per cell.

Structure (extended XYZ):
```
4
Lattice="2.603 0.000 0.000 0.000 4.302 0.000 -0.816 0.000 4.947" Properties=species:S:1:pos:R:3 pbc="T T T"
Cr 0.000 0.000 0.000
Fe 1.753 2.151 1.222
Mo 0.004 2.151 3.769
Mo 0.849 0.000 2.412
```



Result of the stability comparison: (2) is the most stable of them.